# 1
## Zr2InNi (GGA-PBEsol)

Data for an optimized crystal structure of Zr2InNi.

Values from the calculation:
M_tot   0.00 μB/atom
Space group   I4/mmm
Final energy   -56.50 eV per cell
DOS at the Fermi energy   7.88 states/eV/cell

Cell lengths 4.195, 4.195, 8.370 Å; angles 90.00, 90.00, 90.00 degrees
Positions (direct):
Zr1 0.000 0.500 0.250
Zr2 0.000 0.500 0.750
Zr3 0.500 0.000 0.250
Zr4 0.500 0.000 0.750
In1 0.000 0.000 0.000
In2 0.500 0.500 0.500
Ni1 0.000 0.000 0.500
Ni2 0.500 0.500 0.000

---

# 2
## SrAg2Pb (GGA-PBEsol)

Data for an optimized crystal structure of SrAg2Pb.

Values from the calculation:
M_tot   0.00 μB/atom
Space group   P4/mmm
Final energy   -12.94 eV per cell
DOS at the Fermi energy   1.71 states/eV/cell

Cell lengths 4.825, 4.825, 4.196 Å; angles 90.00, 90.00, 90.00 degrees
Positions (direct):
Sr1 0.000 0.000 0.000
Ag1 0.000 0.500 0.500
Ag2 0.500 0.000 0.500
Pb1 0.500 0.500 0.000

---

# 3
## CuIr2Br (GGA-PBEsol)

Data for an optimized crystal structure of CuIr2Br.

Values from the calculation:
M_tot   0.00 μB/atom
Space group   Pmmm
Energy relative to the elements, uncorrected   795 meV per atom
DOS at the Fermi energy   4.80 states/eV/cell

Cell lengths 2.757, 4.546, 4.768 Å; angles 90.00, 90.00, 90.00 degrees
Positions (direct):
Cu1 0.000 0.000 0.000
Ir1 0.000 0.500 0.500
Ir2 0.500 0.500 0.000
Br1 0.500 0.000 0.500

---

# 4
## NaHfRh2Au (GGA-PBEsol)

Data for an optimized crystal structure of NaHfRh2Au.

Values from the calculation:
M_tot   0.00 μB/atom
Space group   P4/mmm
Final energy   -24.99 eV per cell
DOS at the Fermi energy   1.18 states/eV/cell

Cell lengths 4.398, 4.398, 4.552 Å; angles 90.00, 90.00, 90.00 degrees
Positions (direct):
Na1 0.000 0.000 0.000
Hf1 0.000 0.000 0.500
Rh1 0.000 0.500 0.000
Rh2 0.500 0.000 0.000
Au1 0.500 0.500 0.500

---

# 5
## BeNb3F (GGA-PBEsol)

Data for an optimized crystal structure of BeNb3F.

Values from the calculation:
M_tot   0.00 μB/atom
Space group   Pm-3m
Energy relative to the elements, uncorrected   848 meV per atom
DOS at the Fermi energy   3.68 states/eV/cell

Cell lengths 4.381, 4.381, 4.381 Å; angles 90.00, 90.00, 90.00 degrees
Positions (direct):
Be1 0.000 0.000 0.000
Nb1 0.000 0.000 0.500
Nb2 0.000 0.500 0.000
Nb3 0.500 0.000 0.000
F1 0.500 0.500 0.500

---

# 6
## YCu2Sb (GGA-PBEsol)

Data for an optimized crystal structure of YCu2Sb.

Values from the calculation:
M_tot   0.00 μB/atom
Space group   Imm2
Energy relative to the elements, uncorrected   -236 meV per atom
DOS at the Fermi energy   3.64 states/eV/cell

Cell lengths 3.927, 3.988, 9.961 Å; angles 90.00, 90.00, 90.00 degrees
Positions (direct):
Y1 0.000 0.000 0.000
Y2 0.500 0.500 0.500
Cu1 0.000 0.000 0.590
Cu2 0.000 0.500 0.237
Cu3 0.500 0.000 0.737
Cu4 0.500 0.500 0.090
Sb1 0.000 0.500 0.762
Sb2 0.500 0.000 0.262